one:
The following is a DFT calculation (PBE-GGA) of crystalline Ga2Fe2Os at its relaxed geometry.

```
Ga2Fe2Os
1.0
7.1891 0.0000 0.0000
0.0000 7.1891 0.0000
0.0000 0.0000 2.5910
Ga Fe Os
4 4 2
direct
0.1808 0.3192 0.0000
0.3192 0.8192 0.0000
0.6808 0.1808 0.0000
0.8192 0.6808 0.0000
0.1159 0.6159 0.5000
0.3841 0.1159 0.5000
0.6159 0.8841 0.5000
0.8841 0.3841 0.5000
0.0000 0.0000 0.5000
0.5000 0.5000 0.5000
```

As for the space group: P4/mbm. The density comes out at 10.9 g/cm³.

two:
The following is a DFT calculation (PBE-GGA) of crystalline Ga2Fe2Os at its relaxed geometry.

```
Ga2Fe2Os
1.0
6.7044 0.0000 0.0000
0.0000 6.7044 0.0000
0.0000 0.0000 2.9358
Ga Fe Os
4 4 2
direct
0.1358 0.3642 0.0000
0.3642 0.8642 0.0000
0.6358 0.1358 0.0000
0.8642 0.6358 0.0000
0.1643 0.6643 0.5000
0.3357 0.1643 0.5000
0.6643 0.8357 0.5000
0.8357 0.3357 0.5000
0.0000 0.0000 0.0000
0.5000 0.5000 0.0000
```

As for the space group: P4/mbm. The density comes out at 11.1 g/cm³.

two wins, 94 meV/atom ahead of the next structure.